[1]
DFT (PBE) results for crystalline HgC3N at its relaxed geometry.

Computed properties:
distance to the lowest polymorph of the same formula	1.257	eV per atom
E_tot	-2.580	eV per atom
density	5.3	Mg/m³
symmetry	Pm-3m (221)

POSCAR file:
```
HgC3N
1.0
4.279 0.000 0.000
0.000 4.279 0.000
0.000 0.000 4.279
Hg C N
1 3 1
Cartesian
0.000 0.000 0.000
0.000 0.000 2.140
0.000 2.140 0.000
2.140 0.000 0.000
2.140 2.140 2.140
```


[2]
DFT (PBE) results for crystalline HgC3N at its relaxed geometry.

Computed properties:
distance to the lowest polymorph of the same formula	0.000	eV per atom
E_tot	-3.837	eV per atom
density	8.3	Mg/m³
symmetry	Pm-3m (221)

POSCAR file:
```
HgC3N
1.0
3.685 0.000 0.000
0.000 3.685 0.000
0.000 0.000 3.685
Hg C N
1 3 1
Cartesian
0.000 0.000 0.000
0.000 1.842 1.842
1.842 0.000 1.842
1.842 1.842 0.000
1.842 1.842 1.842
```


Looking at M_tot for the records above, in order, we have 0.000; 0.000 μB per formula unit.
Looking at formation energy from raw total energies for the records above, in order, we have 4.6803; 3.4229 eV per atom.